LiCrPt2 | SCAN | PBEsol geometry

Summary:
Symmetry = R-3m (166)
Formation energy = -0.333 eV/atom
DOS at the Fermi energy = 0.55 states/eV per atom

Unit cell a=8.7870 b=8.7870 c=8.7870 alpha=17.69 beta=17.69 gamma=17.69
Last column: nearest neighbours and their distance in Å.
Fractional positions:
Li  0.0000  0.0000  0.0000  6 Li 2.70, 6 Pt 2.71
Cr  0.5000  0.5000  0.5000  6 Pt 2.62, 6 Cr 2.70
Pt  0.2479  0.2479  0.2479  3 Cr 2.62, 6 Pt 2.70, 3 Li 2.71
Pt  0.7521  0.7521  0.7521  3 Cr 2.62, 6 Pt 2.70, 3 Li 2.71

---

MnNiP2 | SCAN | PBEsol geometry

Summary:
Symmetry = Pmc2_1 (26)
Formation energy = -0.541 eV/atom
DOS at the Fermi energy = 0.28 states/eV per atom

Unit cell a=3.1512 b=5.6577 c=5.1237 alpha=90.00 beta=90.00 gamma=90.00
Last column: nearest neighbours and their distance in Å.
Fractional positions:
Mn  0.0000  0.0594  0.0000  6 P 2.19-2.31
Mn  0.0000  0.9406  0.5000  6 P 2.19-2.31
Ni  0.5000  0.4505  0.9960  6 P 2.25-2.39
Ni  0.5000  0.5495  0.4960  6 P 2.25-2.39
P  0.0000  0.3152  0.6795  2 Mn 2.19-2.31, 4 Ni 2.26-2.39
P  0.0000  0.6848  0.1795  2 Mn 2.19-2.31, 4 Ni 2.26-2.39
P  0.5000  0.1679  0.3046  2 Ni 2.25-2.37, 4 Mn 2.27-2.30
P  0.5000  0.8321  0.8046  2 Ni 2.25-2.37, 4 Mn 2.27-2.30

---

PHRuS2 | SCAN | PBEsol geometry

Summary:
Symmetry = P4/mmm (123)
E above lowest polymorph = 124 meV per atom
DOS at the Fermi energy = 0.89 states/eV per atom

Unit cell a=4.5601 b=4.5601 c=4.4841 alpha=90.00 beta=90.00 gamma=90.00
Last column: nearest neighbours and their distance in Å.
Fractional positions:
P  0.0000  0.0000  0.0000  2 Ru 2.24
H  0.5000  0.5000  0.0000  8 S 3.20, 4 P 3.22
Ru  0.0000  0.0000  0.5000  2 P 2.24, 4 S 2.28
S  0.0000  0.5000  0.5000  2 Ru 2.28
S  0.5000  0.0000  0.5000  2 Ru 2.28

---

TiTl3Ir | SCAN | PBEsol geometry

Summary:
Symmetry = Pm-3m (221)
Formation energy = 1.364 eV/atom
DOS at the Fermi energy = 0.80 states/eV per atom

Unit cell a=5.1434 b=5.1434 c=5.1434 alpha=90.00 beta=90.00 gamma=90.00
Last column: nearest neighbours and their distance in Å.
Fractional positions:
Ti  0.0000  0.0000  0.0000  6 Tl 2.57
Tl  0.0000  0.0000  0.5000  2 Ti 2.57
Tl  0.0000  0.5000  0.0000  2 Ti 2.57
Tl  0.5000  0.0000  0.0000  2 Ti 2.57
Ir  0.5000  0.5000  0.5000  12 Tl 3.64

---

FeSiP2 | SCAN | PBEsol geometry

Summary:
Symmetry = P4/mmm (123)
Formation energy without anion corrections = 475 meV per atom
DOS at the Fermi energy = 0.54 states/eV per atom

Unit cell a=4.4156 b=4.4156 c=2.5669 alpha=90.00 beta=90.00 gamma=90.00
Last column: nearest neighbours and their distance in Å.
Fractional positions:
Fe  0.0000  0.0000  0.0000  8 P 2.55, 2 Fe 2.57
Si  0.5000  0.5000  0.0000  8 P 2.55, 2 Si 2.57
P  0.0000  0.5000  0.5000  4 Fe 2.55, 4 Si 2.55, 2 P 2.57
P  0.5000  0.0000  0.5000  4 Fe 2.55, 4 Si 2.55, 2 P 2.57

---

ZrNb2Re | SCAN | PBEsol geometry

Summary:
Symmetry = Fm-3m (225)
Formation energy = -0.129 eV/atom
DOS at the Fermi energy = 1.11 states/eV per atom

Unit cell a=4.6053 b=4.6053 c=4.6053 alpha=60.00 beta=60.00 gamma=60.00
Last column: nearest neighbours and their distance in Å.
Fractional positions:
Zr  0.0000  0.0000  0.0000  8 Nb 2.82
Nb  0.2500  0.2500  0.2500  4 Zr 2.82, 4 Re 2.82
Nb  0.7500  0.7500  0.7500  4 Zr 2.82, 4 Re 2.82
Re  0.5000  0.5000  0.5000  8 Nb 2.82

---

BaMgW2 | SCAN | PBEsol geometry

Summary:
Symmetry = P4/mmm (123)
Formation energy = 1.613 eV/atom
DOS at the Fermi energy = 0.77 states/eV per atom

Unit cell a=4.0525 b=4.0525 c=5.1050 alpha=90.00 beta=90.00 gamma=90.00
Last column: nearest neighbours and their distance in Å.
Fractional positions:
Ba  0.0000  0.0000  0.0000  4 Mg 2.87
Mg  0.5000  0.5000  0.0000  4 Ba 2.87
W  0.0000  0.5000  0.5000  4 W 2.87
W  0.5000  0.0000  0.5000  4 W 2.87

---

Tl2CdPt | SCAN | PBEsol geometry

Summary:
Symmetry = Immm (71)
E above lowest polymorph = 0 meV per atom
Formation energy = -0.083 eV/atom
DOS at the Fermi energy = 0.41 states/eV per atom

Unit cell a=7.3849 b=7.3849 c=7.3849 alpha=156.51 beta=143.40 gamma=43.95
Last column: nearest neighbours and their distance in Å.
Fractional positions:
Tl  0.1819  0.1819  0.0000  2 Pt 2.91, 2 Tl 3.01
Tl  0.8181  0.8181  0.0000  2 Pt 2.91, 2 Tl 3.01
Cd  0.5000  0.0000  0.5000  4 Pt 2.76, 2 Cd 3.01
Pt  0.0000  0.5000  0.5000  4 Cd 2.76, 4 Tl 2.91, 2 Pt 3.01

---

Li2InPd | SCAN | PBEsol geometry

Summary:
Symmetry = F-43m (216)
Formation energy = -0.552 eV/atom
DOS at the Fermi energy = 0.35 states/eV per atom

Unit cell a=4.4625 b=4.4625 c=4.4625 alpha=60.00 beta=60.00 gamma=60.00
Last column: nearest neighbours and their distance in Å.
Fractional positions:
Li  0.0000  0.0000  0.0000  4 In 2.73, 4 Li 2.73
Li  0.2500  0.2500  0.2500  4 Li 2.73, 4 Pd 2.73
In  0.7500  0.7500  0.7500  4 Li 2.73, 4 Pd 2.73
Pd  0.5000  0.5000  0.5000  4 In 2.73, 4 Li 2.73

---

Cs2Sb2Br | SCAN | PBEsol geometry

Summary:
Symmetry = I4/mmm (139)
Formation energy without anion corrections = -973 meV per atom
DOS at the Fermi energy = 0.28 states/eV per atom

Unit cell a=11.0848 b=11.0848 c=11.0848 alpha=157.71 beta=157.71 gamma=31.73
Last column: nearest neighbours and their distance in Å.
Fractional positions:
Cs  0.0959  0.0959  0.0000  4 Br 3.66, 4 Sb 3.92, 1 Cs 4.09
Cs  0.9041  0.9041  0.0000  4 Br 3.66, 4 Sb 3.92, 1 Cs 4.09
Sb  0.2500  0.7500  0.5000  4 Sb 3.03
Sb  0.7500  0.2500  0.5000  4 Sb 3.03
Br  0.5000  0.5000  0.0000  8 Cs 3.66

---

Fe2ReNi | SCAN | PBEsol geometry

Summary:
Symmetry = Cm (8)
Formation energy = 0.087 eV/atom
DOS at the Fermi energy = 0.79 states/eV per atom

Unit cell a=4.3849 b=4.3849 c=4.3950 alpha=99.52 beta=99.52 gamma=33.93
Last column: nearest neighbours and their distance in Å.
Fractional positions:
Fe  0.0000  0.0000  0.0000  3 Re 2.51-2.57, 4 Ni 2.51-2.57, 5 Fe 2.52-2.56
Fe  0.7471  0.7471  0.2482  3 Ni 2.51-2.53, 5 Fe 2.52-2.56, 4 Re 2.54-2.55
Re  0.2461  0.2461  0.7467  7 Fe 2.51-2.57, 3 Ni 2.54-2.56, 2 Re 2.56
Ni  0.4945  0.4945  0.4898  7 Fe 2.51-2.57, 3 Re 2.54-2.56, 2 Ni 2.56

---

BaAl4Tc | SCAN | PBEsol geometry

Summary:
Symmetry = F-43m (216)
Formation energy = 0.298 eV/atom
DOS at the Fermi energy = 0.35 states/eV per atom

Unit cell a=5.4424 b=5.4424 c=5.4424 alpha=60.00 beta=60.00 gamma=60.00
Last column: nearest neighbours and their distance in Å.
Fractional positions:
Ba  0.0000  0.0000  0.0000  12 Al 3.19, 4 Tc 3.33
Al  0.3761  0.3761  0.3761  6 Al 2.70-2.74
Al  0.3761  0.3761  0.8718  6 Al 2.70-2.74
Al  0.3761  0.8718  0.3761  6 Al 2.70-2.74
Al  0.8718  0.3761  0.3761  6 Al 2.70-2.74
Tc  0.7500  0.7500  0.7500  12 Al 3.19, 4 Ba 3.33

---

HgWCl | SCAN | PBEsol geometry

Summary:
Symmetry = Fmm2 (42)
Formation energy without anion corrections = 523 meV per atom
DOS at the Fermi energy = 0.65 states/eV per atom

Unit cell a=8.5006 b=8.2198 c=2.9691 alpha=85.16 beta=74.48 gamma=20.37
Last column: nearest neighbours and their distance in Å.
Fractional positions:
Hg  0.0000  0.0000  0.0000  6 Hg 2.87-2.97, 2 W 2.95
W  0.3410  0.3410  0.6590  2 Cl 2.41
Cl  0.7213  0.7213  0.2787  2 W 2.41

---

SbHI2N | SCAN | PBEsol geometry

Summary:
Symmetry = P4/mmm (123)
Total energy = -23.645 eV per atom
DOS at the Fermi energy = 0.53 states/eV per atom

Unit cell a=6.0114 b=6.0114 c=3.8896 alpha=90.00 beta=90.00 gamma=90.00
Last column: nearest neighbours and their distance in Å.
Fractional positions:
Sb  0.0000  0.0000  0.0000  2 N 1.94
H  0.5000  0.5000  0.5000  8 I 3.58, 2 H 3.89
I  0.0000  0.5000  0.0000  2 Sb 3.01
I  0.5000  0.0000  0.0000  2 Sb 3.01
N  0.0000  0.0000  0.5000  2 Sb 1.94

---

MnCo2P | SCAN | PBEsol geometry

Summary:
Symmetry = P4mm (99)
Formation energy = -0.051 eV/atom
DOS at the Fermi energy = 0.57 states/eV per atom

Unit cell a=2.6844 b=2.6844 c=5.7216 alpha=90.00 beta=90.00 gamma=90.00
Last column: nearest neighbours and their distance in Å.
Fractional positions:
Mn  0.0000  0.0000  0.0000  4 P 2.29, 4 Co 2.45
Co  0.0000  0.0000  0.4505  4 P 2.30, 4 Co 2.48
Co  0.5000  0.5000  0.7296  4 Mn 2.45, 8 Co 2.48-2.68
P  0.5000  0.5000  0.2235  4 Mn 2.29, 4 Co 2.30

---

ScPdOF2 | SCAN | PBEsol geometry

Summary:
Symmetry = P4/mmm (123)
Formation energy without anion corrections = -2461 meV per atom
DOS at the Fermi energy = 0.11 states/eV per atom

Unit cell a=3.9988 b=3.9988 c=4.1096 alpha=90.00 beta=90.00 gamma=90.00
Last column: nearest neighbours and their distance in Å.
Fractional positions:
Sc  0.0000  0.0000  0.0000  4 F 2.00, 2 O 2.05
Pd  0.5000  0.5000  0.5000  4 O 2.83, 8 F 2.87
O  0.0000  0.0000  0.5000  2 Sc 2.05
F  0.0000  0.5000  0.0000  2 Sc 2.00
F  0.5000  0.0000  0.0000  2 Sc 2.00

---

AlFe2Mo | SCAN | PBEsol geometry

Summary:
Symmetry = P4/mmm (123)
Formation energy = -0.054 eV/atom
DOS at the Fermi energy = 0.73 states/eV per atom

Unit cell a=2.8429 b=2.8429 c=5.9262 alpha=90.00 beta=90.00 gamma=90.00
Last column: nearest neighbours and their distance in Å.
Fractional positions:
Al  0.0000  0.0000  0.0000  8 Fe 2.47
Fe  0.5000  0.5000  0.2419  4 Al 2.47, 4 Mo 2.53
Fe  0.5000  0.5000  0.7581  4 Al 2.47, 4 Mo 2.53
Mo  0.0000  0.0000  0.5000  8 Fe 2.53

---

LaHg2Au2 | SCAN | PBEsol geometry

Summary:
Symmetry = I4/mmm (139)
Formation energy = -0.588 eV/atom
DOS at the Fermi energy = 0.42 states/eV per atom

Unit cell a=7.1984 b=7.1984 c=7.1984 alpha=146.13 beta=146.13 gamma=48.65
Last column: nearest neighbours and their distance in Å.
Fractional positions:
La  0.0000  0.0000  0.0000  8 Au 3.25
Hg  0.2500  0.7500  0.5000  4 Au 2.87, 4 Hg 2.97
Hg  0.7500  0.2500  0.5000  4 Au 2.87, 4 Hg 2.97
Au  0.3991  0.3991  0.0000  1 Au 2.65, 4 Hg 2.87
Au  0.6009  0.6009  0.0000  1 Au 2.65, 4 Hg 2.87

---

YPd2I | SCAN | PBEsol geometry

Summary:
Symmetry = Fm-3m (225)
Formation energy without anion corrections = -368 meV per atom
DOS at the Fermi energy = 0.56 states/eV per atom

Unit cell a=4.8729 b=4.8729 c=4.8729 alpha=60.00 beta=60.00 gamma=60.00
Last column: nearest neighbours and their distance in Å.
Fractional positions:
Y  0.0000  0.0000  0.0000  8 Pd 2.98
Pd  0.2500  0.2500  0.2500  4 I 2.98, 4 Y 2.98
Pd  0.7500  0.7500  0.7500  4 I 2.98, 4 Y 2.98
I  0.5000  0.5000  0.5000  8 Pd 2.98

---

TlAgBr3 | SCAN | PBEsol geometry

Summary:
Symmetry = R3c (161)
Formation energy without anion corrections = -542 meV per atom
DOS at the Fermi energy = 0.26 states/eV per atom

Unit cell a=7.3143 b=7.3143 c=7.3143 alpha=61.39 beta=61.39 gamma=61.39
Last column: nearest neighbours and their distance in Å.
Fractional positions:
Tl  0.0000  0.0000  0.0000  6 Br 3.34-3.46
Tl  0.5000  0.5000  0.5000  6 Br 3.34-3.46
Ag  0.2363  0.2363  0.2363  6 Br 2.64
Ag  0.7363  0.7363  0.7363  6 Br 2.64
Br  0.0398  0.9325  0.4834  2 Ag 2.64
Br  0.4325  0.5398  0.9834  2 Ag 2.64
Br  0.4834  0.0398  0.9325  2 Ag 2.64
Br  0.5398  0.9834  0.4325  2 Ag 2.64
Br  0.9325  0.4834  0.0398  2 Ag 2.64
Br  0.9834  0.4325  0.5398  2 Ag 2.64